Record 1
The following is a PBE-GGA calculation of a geometry-optimized Sc2TaSe structure, from Alexandria via LeMat-Bulk.

abc: 3.2173 3.2173 8.0191
angles: 90.00 90.00 102.91
With the nearest neighbours (Å) after each atom.
Fractional positions:
1 Sc 0.0000 0.0000 0.0171  2 Se 2.74, 2 Ta 2.93
2 Sc 0.0000 0.0000 0.4829  2 Se 2.74, 2 Ta 2.93
3 Se 0.5000 0.5000 0.2500  4 Sc 2.74
4 Ta 0.5000 0.5000 0.7500  4 Sc 2.93, 4 Ta 3.22

Summary:
**Final energy**: -29.888 eV/cell

Record 2
The following is a PBE-GGA calculation of a geometry-optimized ScTa2Se structure, from Alexandria via LeMat-Bulk.

abc: 3.1076 3.1076 7.9406
angles: 90.00 90.00 90.02
With the nearest neighbours (Å) after each atom.
Fractional positions:
1 Sc 0.5000 0.5000 0.2500  4 Sc 3.11, 8 Ta 3.19
2 Se 0.5000 0.5000 0.7500  8 Ta 2.75
3 Ta 0.0000 0.0000 0.9586  4 Se 2.75
4 Ta 0.0000 0.0000 0.5414  4 Se 2.75

Summary:
**Final energy**: -33.270 eV/cell

Record 3
The following is a PBE-GGA calculation of a geometry-optimized ScTa2Se structure, from Alexandria via LeMat-Bulk.

abc: 5.3266 5.3266 4.6729
angles: 77.11 77.11 35.55
With the nearest neighbours (Å) after each atom.
Fractional positions:
1 Sc 0.7500 0.7500 0.7500  4 Se 2.85, 6 Ta 2.95-3.12
2 Se 0.2500 0.2500 0.2500  4 Sc 2.85, 6 Ta 2.90-3.11
3 Ta 0.9874 0.9874 0.0148  4 Ta 2.79-2.92, 3 Se 2.90-3.11, 3 Sc 2.95-3.12
4 Ta 0.5126 0.5126 0.4852  4 Ta 2.79-2.92, 3 Se 2.90-3.11, 3 Sc 2.95-3.12

Summary:
**Final energy**: -34.040 eV/cell

Record 4
The following is a PBE-GGA calculation of a geometry-optimized ScTa2Se structure, from Alexandria via LeMat-Bulk.

abc: 4.8821 3.9085 3.9085
angles: 90.00 90.00 90.00
With the nearest neighbours (Å) after each atom.
Fractional positions:
1 Sc 0.5000 0.5000 0.0000  4 Se 2.76
2 Se 0.5000 0.0000 0.5000  4 Sc 2.76
3 Ta 0.0000 0.0000 0.0000  4 Ta 2.76
4 Ta 0.0000 0.5000 0.5000  4 Ta 2.76

Summary:
**Final energy**: -33.625 eV/cell

Record 5
The following is a PBE-GGA calculation of a geometry-optimized ScTaSe structure, from Alexandria via LeMat-Bulk.

abc: 3.2962 3.2972 12.4708
angles: 90.00 90.00 119.99
With the nearest neighbours (Å) after each atom.
Fractional positions:
1 Ta 0.6103 0.2206 0.0000  6 Sc 3.03-3.04, 6 Ta 3.30
2 Ta 0.2780 0.5560 0.5000  6 Se 2.62
3 Se 0.6113 0.2225 0.3556  3 Ta 2.62, 3 Sc 2.81
4 Se 0.6113 0.2225 0.6444  3 Ta 2.62, 3 Sc 2.81
5 Sc 0.2779 0.5558 0.8105  3 Se 2.81, 3 Ta 3.03-3.04
6 Sc 0.2779 0.5558 0.1895  3 Se 2.81, 3 Ta 3.03-3.04

Summary:
**Final energy**: -46.354 eV/cell
**Energy above the most stable polymorph in this dataset**: 39 meV/atom

Record 6
The following is a PBE-GGA calculation of a geometry-optimized Sc2TaSe structure, from Alexandria via LeMat-Bulk.

abc: 7.9158 7.9158 6.2157
angles: 50.45 50.45 90.00
With the nearest neighbours (Å) after each atom.
Fractional positions:
1 Sc 0.5696 0.1250 0.2500  2 Se 2.60, 2 Sc 2.84
2 Sc 0.1804 0.6250 0.2500  2 Se 2.60, 2 Sc 2.84
3 Sc 0.3750 0.4304 0.7500  2 Se 2.60, 2 Sc 2.84
4 Sc 0.8750 0.8196 0.7500  2 Se 2.60, 2 Sc 2.84
5 Se 0.5000 0.5000 0.0000  4 Sc 2.60, 2 Ta 2.70
6 Se 0.2500 0.7500 0.5000  4 Sc 2.60, 2 Ta 2.70
7 Ta 0.0000 0.0000 0.0000  2 Se 2.70
8 Ta 0.7500 0.2500 0.5000  2 Se 2.70

Summary:
**Final energy**: -55.918 eV/cell

Formation energy from raw total energies? In order: -0.472; 0.063; -0.130; -0.026; -0.503; 0.010 eV/atom.
Fermi-level density of states? In order: 0.881; 0.971; 0.904; 1.163; 0.636; 1.283 states/eV/atom.
Magnetic moment? In order: 0.00; 0.00; 0.00; 0.00; 0.00; 0.00 μB per formula unit.